[1]
La2PrAs: relaxed, PBE-GGA.

Structure (POSCAR):
```
La2PrAs
1.0
-3.155 1.275 -2.239
-0.242 -1.013 -3.938
-6.061 -7.944 0.308
As La Pr
1 2 1
Direct
0.667 0.667 0.000
0.270 0.270 0.189
0.063 0.063 0.811
0.500 0.500 0.500
```

Energy of formation from the pure elements = -0.641 eV/atom
Electronic total energy = -5.462 eV per atom
D(E_F) = 4.0 states/eV/cell
Theoretical density = 5.9 g cm⁻³



[2]
Hf3H2Ir: relaxed, PBE-GGA.

Structure (POSCAR):
```
Hf3H2Ir
1.0
3.200 0.000 0.000
0.000 5.730 -0.507
-1.600 -2.390 9.947
Hf H Ir
6 4 2
Direct
0.958 0.206 0.916
0.607 0.380 0.214
0.231 0.229 0.462
0.769 0.771 0.538
0.393 0.620 0.786
0.042 0.794 0.084
0.290 0.586 0.580
0.055 0.172 0.109
0.945 0.828 0.891
0.710 0.414 0.420
0.650 0.877 0.300
0.350 0.123 0.700
```

Electronic total energy = -8.015 eV per atom
D(E_F) = 8.9 states/eV/cell
Theoretical density = 13.6 g cm⁻³



[3]
BaEr2AgTe4: relaxed, PBE-GGA.

Structure (POSCAR):
```
BaEr2AgTe4
1.0
-3.384 2.997 0.113
-3.120 -6.980 1.227
2.060 1.752 15.211
Er Te Ag Ba
4 8 2 2
Direct
0.622 0.245 0.063
0.622 0.245 0.437
0.378 0.755 0.937
0.378 0.755 0.563
0.734 0.469 0.606
0.541 0.083 0.250
0.734 0.469 0.894
0.266 0.531 0.106
0.459 0.917 0.750
0.000 0.000 0.500
0.000 0.000 0.000
0.266 0.531 0.394
0.852 0.705 0.750
0.148 0.295 0.250
0.865 0.730 0.250
0.135 0.270 0.750
```

Electronic total energy = -4.494 eV per atom
D(E_F) = 4.9 states/eV/cell
Theoretical density = 7.0 g cm⁻³
Raw formation energy = -9.49 eV per formula unit



> The highest theoretical density belongs to which entry?

Hf3H2Ir



> Among the records above, which one has the lowest D(E_F)?

La2PrAs